Record 1
Compound: Y2HfCo
Source: the Open Quantum Materials Database
Functional: PBE-GGA
Structure: optimized geometry

Cell and atoms, written as CIF:
```
data_Y2HfCo
_space_group_name_H-M_alt 'P 1'
_space_group_IT_number 1
_cell_length_a 4.982
_cell_length_b 4.982
_cell_length_c 4.982
_cell_angle_alpha 60.00
_cell_angle_beta 60.00
_cell_angle_gamma 60.00
loop_
_space_group_symop_operation_xyz
'x,y,z'
loop_
_atom_site_label
_atom_site_fract_x
_atom_site_fract_y
_atom_site_fract_z
Co1 0.250 0.250 0.250
Hf1 0.500 0.500 0.500
Y1 0.000 0.000 0.000
Y2 0.750 0.750 0.750
```

crystal system: cubic
formation energy from the elements: 0.39 eV/atom


Record 2
Compound: YHfCo
Source: the Open Quantum Materials Database
Functional: PBE-GGA
Structure: optimized geometry

Cell and atoms, written as CIF:
```
data_YHfCo
_space_group_name_H-M_alt 'P 1'
_space_group_IT_number 1
_cell_length_a 4.517
_cell_length_b 4.517
_cell_length_c 4.517
_cell_angle_alpha 60.00
_cell_angle_beta 60.00
_cell_angle_gamma 60.00
loop_
_space_group_symop_operation_xyz
'x,y,z'
loop_
_atom_site_label
_atom_site_fract_x
_atom_site_fract_y
_atom_site_fract_z
Co1 0.500 0.500 0.500
Hf1 0.000 0.000 0.000
Y1 0.250 0.250 0.250
```

crystal system: cubic
formation energy from the elements: 1.15 eV/atom


Record 3
Compound: YHfCo2
Source: the Open Quantum Materials Database
Functional: PBE-GGA
Structure: optimized geometry

Cell and atoms, written as CIF:
```
data_YHfCo2
_space_group_name_H-M_alt 'P 1'
_space_group_IT_number 1
_cell_length_a 4.488
_cell_length_b 4.488
_cell_length_c 4.488
_cell_angle_alpha 60.00
_cell_angle_beta 60.00
_cell_angle_gamma 60.00
loop_
_space_group_symop_operation_xyz
'x,y,z'
loop_
_atom_site_label
_atom_site_fract_x
_atom_site_fract_y
_atom_site_fract_z
Co1 0.000 0.000 0.000
Co2 0.750 0.750 0.750
Hf1 0.250 0.250 0.250
Y1 0.500 0.500 0.500
```

crystal system: cubic
formation energy from the elements: 0.28 eV/atom


Record 4
Compound: YHfZnCo
Source: the Open Quantum Materials Database
Functional: PBE-GGA
Structure: optimized geometry

Cell and atoms, written as CIF:
```
data_YHfZnCo
_space_group_name_H-M_alt 'P 1'
_space_group_IT_number 1
_cell_length_a 4.619
_cell_length_b 4.619
_cell_length_c 4.619
_cell_angle_alpha 60.00
_cell_angle_beta 60.00
_cell_angle_gamma 60.00
loop_
_space_group_symop_operation_xyz
'x,y,z'
loop_
_atom_site_label
_atom_site_fract_x
_atom_site_fract_y
_atom_site_fract_z
Co1 0.750 0.750 0.750
Hf1 0.500 0.500 0.500
Y1 0.250 0.250 0.250
Zn1 0.000 0.000 0.000
```

crystal system: cubic
formation energy from the elements: 0.08 eV/atom


Record 5
Compound: HfZnCo2
Source: the Open Quantum Materials Database
Functional: PBE-GGA
Structure: optimized geometry

Cell and atoms, written as CIF:
```
data_HfZnCo2
_space_group_name_H-M_alt 'P 1'
_space_group_IT_number 1
_cell_length_a 4.303
_cell_length_b 4.303
_cell_length_c 4.303
_cell_angle_alpha 60.00
_cell_angle_beta 60.00
_cell_angle_gamma 60.00
loop_
_space_group_symop_operation_xyz
'x,y,z'
loop_
_atom_site_label
_atom_site_fract_x
_atom_site_fract_y
_atom_site_fract_z
Co1 0.500 0.500 0.500
Co2 0.750 0.750 0.750
Hf1 0.250 0.250 0.250
Zn1 0.000 0.000 0.000
```

crystal system: cubic
formation energy from the elements: 0.00 eV/atom


Record 6
Compound: HfZnCo2
Source: the Open Quantum Materials Database
Functional: PBE-GGA
Structure: optimized geometry

Cell and atoms, written as CIF:
```
data_HfZnCo2
_space_group_name_H-M_alt 'P 1'
_space_group_IT_number 1
_cell_length_a 4.413
_cell_length_b 4.413
_cell_length_c 6.971
_cell_angle_alpha 90.00
_cell_angle_beta 90.00
_cell_angle_gamma 120.00
loop_
_space_group_symop_operation_xyz
'x,y,z'
loop_
_atom_site_label
_atom_site_fract_x
_atom_site_fract_y
_atom_site_fract_z
Co1 0.333 0.667 0.089
Co2 0.333 0.667 0.411
Co3 0.667 0.333 0.589
Co4 0.667 0.333 0.911
Hf1 0.000 0.000 0.250
Hf2 0.000 0.000 0.750
Zn1 0.667 0.333 0.250
Zn2 0.333 0.667 0.750
```

crystal system: hexagonal
formation energy from the elements: 0.13 eV/atom


Record 7
Compound: HfZnCo
Source: the Open Quantum Materials Database
Functional: PBE-GGA
Structure: optimized geometry

Cell and atoms, written as CIF:
```
data_HfZnCo
_space_group_name_H-M_alt 'P 1'
_space_group_IT_number 1
_cell_length_a 4.164
_cell_length_b 4.164
_cell_length_c 4.164
_cell_angle_alpha 60.00
_cell_angle_beta 60.00
_cell_angle_gamma 60.00
loop_
_space_group_symop_operation_xyz
'x,y,z'
loop_
_atom_site_label
_atom_site_fract_x
_atom_site_fract_y
_atom_site_fract_z
Co1 0.000 0.000 0.000
Hf1 0.250 0.250 0.250
Zn1 0.750 0.750 0.750
```

crystal system: cubic
formation energy from the elements: -0.06 eV/atom


Record 8
Compound: HfZnCo2
Source: the Open Quantum Materials Database
Functional: PBE-GGA
Structure: optimized geometry

Cell and atoms, written as CIF:
```
data_HfZnCo2
_space_group_name_H-M_alt 'P 1'
_space_group_IT_number 1
_cell_length_a 4.047
_cell_length_b 4.047
_cell_length_c 3.273
_cell_angle_alpha 90.00
_cell_angle_beta 90.00
_cell_angle_gamma 90.00
loop_
_space_group_symop_operation_xyz
'x,y,z'
loop_
_atom_site_label
_atom_site_fract_x
_atom_site_fract_y
_atom_site_fract_z
Co1 0.500 0.000 0.500
Co2 0.000 0.500 0.500
Hf1 0.500 0.500 0.000
Zn1 0.000 0.000 0.000
```

crystal system: tetragonal
formation energy from the elements: -0.31 eV/atom